# BaCr2Ga

Crystalline BaCr2Ga at its relaxed geometry (GGA-PBE, Alexandria).

Cell and atoms, written as POSCAR:
```
BaCr2Ga
1.0
-1.064 -1.935 -4.388
1.070 -4.477 1.715
-8.558 -4.276 1.212
Cr Ba Ga
4 2 2
direct
0.375 0.125 0.250
0.375 0.625 0.250
0.375 0.625 0.750
0.875 0.625 0.750
0.000 0.000 0.000
0.750 0.250 0.500
0.500 0.500 0.000
0.250 0.750 0.500
```

Magnetization, μB/f.u.: 5.70
Crystal system: tetragonal
Fermi-level density of states, states/eV/atom: 0.931
Calculated volume, Å³ per atom: 27.13
Symmetry: I4_1/amd
Energy relative to the elements, meV per atom: 723
Mass density, Mg/m³: 4.8